(1)
DFT (GGA-PBEsol) results for crystalline Zr2BeAlB at its relaxed geometry.

Lattice parameters (Å, degrees): 4.5364 4.5364 4.0334 90.00 90.00 90.00
Atoms (fractional coordinates):
Zr  0.0000  0.5000  0.0000
Zr  0.5000  0.0000  0.0000
Be  0.0000  0.0000  0.0000
Al  0.0000  0.0000  0.5000
B  0.5000  0.5000  0.5000

Values from the calculation:
* size of the total moment: 0.00 μB/f.u.
* ΔE_f: 0.612 eV/atom
* space-group type: No. 123

=====

(2)
DFT (GGA-PBEsol) results for crystalline Al3BBr at its relaxed geometry.

Lattice parameters (Å, degrees): 4.4241 4.4241 4.4241 90.00 90.00 90.00
Atoms (fractional coordinates):
Al  0.0000  0.0000  0.5000
Al  0.0000  0.5000  0.0000
Al  0.5000  0.0000  0.0000
B  0.0000  0.0000  0.0000
Br  0.5000  0.5000  0.5000

Values from the calculation:
* size of the total moment: 0.00 μB/f.u.
* E_form (uncorrected): 0.34 eV per atom
* space-group type: No. 221

=====

(3)
DFT (GGA-PBEsol) results for crystalline Al3BC3 at its relaxed geometry.

Lattice parameters (Å, degrees): 5.9022 5.9022 15.8688 90.00 90.00 120.00
Atoms (fractional coordinates):
Al  0.0000  0.0000  0.1115
Al  0.0000  0.0000  0.6115
Al  0.0000  0.3205  0.2550
Al  0.0000  0.3468  0.0000
Al  0.0000  0.6532  0.5000
Al  0.0000  0.6795  0.7550
Al  0.3205  0.0000  0.2550
Al  0.3205  0.3205  0.7550
Al  0.3333  0.6667  0.1387
Al  0.3333  0.6667  0.6387
Al  0.3468  0.0000  0.0000
Al  0.3468  0.3468  0.5000
Al  0.6532  0.0000  0.5000
Al  0.6532  0.6532  0.0000
Al  0.6667  0.3333  0.1387
Al  0.6667  0.3333  0.6387
Al  0.6795  0.0000  0.7550
Al  0.6795  0.6795  0.2550
B  0.0000  0.0000  0.3872
B  0.0000  0.0000  0.8872
B  0.3333  0.6667  0.3715
B  0.3333  0.6667  0.8715
B  0.6667  0.3333  0.3715
B  0.6667  0.3333  0.8715
C  0.0000  0.0000  0.2962
C  0.0000  0.0000  0.4774
C  0.0000  0.0000  0.7962
C  0.0000  0.0000  0.9774
C  0.0000  0.3331  0.1275
C  0.0000  0.6669  0.6275
C  0.3331  0.0000  0.1275
C  0.3331  0.3331  0.6275
C  0.3333  0.6667  0.2806
C  0.3333  0.6667  0.4623
C  0.3333  0.6667  0.7806
C  0.3333  0.6667  0.9623
C  0.6669  0.0000  0.6275
C  0.6667  0.3333  0.2806
C  0.6667  0.3333  0.4623
C  0.6667  0.3333  0.7806
C  0.6667  0.3333  0.9623
C  0.6669  0.6669  0.1275

Values from the calculation:
* size of the total moment: 0.00 μB/f.u.
* ΔE_f: -0.078 eV/atom
* space-group type: No. 185

=====

(4)
DFT (GGA-PBEsol) results for crystalline K2AlBC at its relaxed geometry.

Lattice parameters (Å, degrees): 6.3620 6.3620 2.8715 90.00 90.00 90.00
Atoms (fractional coordinates):
K  0.0000  0.5000  0.0000
K  0.5000  0.0000  0.0000
Al  0.0000  0.0000  0.5000
B  0.5000  0.5000  0.5000
C  0.5000  0.5000  0.0000

Values from the calculation:
* size of the total moment: 0.00 μB/f.u.
* ΔE_f: 0.407 eV/atom
* space-group type: No. 123

=====

(5)
DFT (GGA-PBEsol) results for crystalline Ca4Al3CrSiBO14 at its relaxed geometry.

Lattice parameters (Å, degrees): 4.9846 7.5959 7.6345 90.69 91.42 90.13
Atoms (fractional coordinates):
Ca  0.0000  0.0000  0.0000
Ca  0.0056  0.1789  0.5303
Ca  0.0138  0.6767  0.3255
Ca  0.9686  0.4853  0.8676
Al  0.4897  0.3363  0.1768
Al  0.4982  0.8613  0.6834
Al  0.5315  0.7005  0.0379
Cr  0.4559  0.4844  0.5496
Si  0.5532  0.9903  0.3271
B  0.4355  0.2001  0.8318
O  0.1873  0.7003  0.0424
O  0.2305  0.9905  0.3269
O  0.2804  0.4125  0.3497
O  0.2971  0.0346  0.7620
O  0.3002  0.2440  0.0011
O  0.2996  0.6940  0.5761
O  0.3148  0.3449  0.7096
O  0.6818  0.8543  0.1849
O  0.6912  0.7554  0.8435
O  0.6949  0.5087  0.1119
O  0.6964  0.1785  0.2808
O  0.7036  0.9371  0.5140
O  0.7206  0.1967  0.8353
O  0.7951  0.4803  0.5460

Values from the calculation:
* size of the total moment: 2.00 μB/f.u.
* E_form (uncorrected): -2.87 eV per atom
* space-group type: No. 1

=====

(6)
DFT (GGA-PBEsol) results for crystalline CaAlBO4 at its relaxed geometry.

Lattice parameters (Å, degrees): 8.6532 8.6532 5.7650 90.00 90.00 123.28
Atoms (fractional coordinates):
Ca  0.0501  0.2356  0.0000
Ca  0.2356  0.0501  0.5000
Ca  0.7644  0.9499  0.5000
Ca  0.9499  0.7644  0.0000
Al  0.2778  0.6921  0.7269
Al  0.3079  0.7222  0.2269
Al  0.6921  0.2778  0.2269
Al  0.7222  0.3079  0.7269
B  0.1523  0.3729  0.4633
B  0.3729  0.1523  0.9633
B  0.6271  0.8477  0.9633
B  0.8477  0.6271  0.4633
O  0.0733  0.1875  0.4312
O  0.1699  0.4485  0.6819
O  0.1875  0.0733  0.9312
O  0.2000  0.7368  0.9805
O  0.2166  0.4829  0.2664
O  0.2632  0.8000  0.4805
O  0.4485  0.1699  0.1819
O  0.4829  0.2166  0.7664
O  0.5171  0.7834  0.7664
O  0.5515  0.8301  0.1819
O  0.7368  0.2000  0.4805
O  0.7834  0.5171  0.2664
O  0.8000  0.2632  0.9805
O  0.8125  0.9267  0.9312
O  0.8301  0.5515  0.6819
O  0.9267  0.8125  0.4312

Values from the calculation:
* size of the total moment: 0.00 μB/f.u.
* E_form (uncorrected): -2.92 eV per atom
* space-group type: No. 37

=====

(7)
DFT (GGA-PBEsol) results for crystalline CaZrAl9BO18 at its relaxed geometry.

Lattice parameters (Å, degrees): 8.7273 8.7273 8.4872 90.00 90.00 120.00
Atoms (fractional coordinates):
Ca  0.0000  0.0000  0.0000
Ca  0.0000  0.0000  0.5000
Zr  0.3333  0.6667  0.2500
Zr  0.6667  0.3333  0.7500
Al  0.0049  0.3373  0.2500
Al  0.0175  0.3610  0.5782
Al  0.0175  0.3610  0.9218
Al  0.3323  0.9951  0.2500
Al  0.3373  0.3323  0.7500
Al  0.3435  0.9825  0.5782
Al  0.3435  0.9825  0.9218
Al  0.3610  0.3435  0.0782
Al  0.3610  0.3435  0.4218
Al  0.6390  0.6565  0.5782
Al  0.6390  0.6565  0.9218
Al  0.6565  0.0175  0.0782
Al  0.6565  0.0175  0.4218
Al  0.6627  0.6677  0.2500
Al  0.6677  0.0049  0.7500
Al  0.9825  0.6390  0.0782
Al  0.9825  0.6390  0.4218
Al  0.9951  0.6627  0.7500
B  0.3333  0.6667  0.7500
B  0.6667  0.3333  0.2500
O  0.1070  0.8080  0.5823
O  0.1070  0.8080  0.9177
O  0.1110  0.7805  0.2500
O  0.1188  0.5233  0.0925
O  0.1188  0.5233  0.4075
O  0.1531  0.5525  0.7500
O  0.1920  0.2989  0.5823
O  0.1920  0.2989  0.9177
O  0.2195  0.3305  0.2500
O  0.2989  0.1070  0.0823
O  0.2989  0.1070  0.4177
O  0.3305  0.1110  0.7500
O  0.3994  0.8469  0.7500
O  0.4045  0.8812  0.0925
O  0.4045  0.8812  0.4075
O  0.4475  0.6006  0.7500
O  0.4767  0.5955  0.0925
O  0.4767  0.5955  0.4075
O  0.5233  0.4045  0.5925
O  0.5233  0.4045  0.9075
O  0.5525  0.3994  0.2500
O  0.5955  0.1188  0.5925
O  0.5955  0.1188  0.9075
O  0.6006  0.1531  0.2500
O  0.6695  0.8890  0.2500
O  0.7011  0.8930  0.5823
O  0.7011  0.8930  0.9177
O  0.7805  0.6695  0.7500
O  0.8080  0.7011  0.0823
O  0.8080  0.7011  0.4177
O  0.8469  0.4475  0.2500
O  0.8812  0.4767  0.5925
O  0.8812  0.4767  0.9075
O  0.8890  0.2195  0.7500
O  0.8930  0.1920  0.0823
O  0.8930  0.1920  0.4177

Values from the calculation:
* size of the total moment: 0.00 μB/f.u.
* E_form (uncorrected): -3.10 eV per atom
* space-group type: No. 176

=====

(8)
DFT (GGA-PBEsol) results for crystalline Ca2AlBW at its relaxed geometry.

Lattice parameters (Å, degrees): 5.5526 5.5526 4.1153 90.00 90.00 90.00
Atoms (fractional coordinates):
Ca  0.0000  0.5000  0.0000
Ca  0.5000  0.0000  0.0000
Al  0.0000  0.0000  0.5000
B  0.5000  0.5000  0.5000
W  0.5000  0.5000  0.0000

Values from the calculation:
* size of the total moment: 0.29 μB/f.u.
* ΔE_f: 1.176 eV/atom
* space-group type: No. 123

=====

> Which formula does entry 4 have?

K2AlBC

=====

> What is the size of the total moment in the second record?

0.00 μB/f.u.

=====

> What is the formula in the third record?

Al3BC3